# GeHPd2Pt | Alexandria via LeMat-Bulk | GGA-PBE | optimized geometry
data_GeHPd2Pt
_space_group_name_H-M_alt 'P 1'
_space_group_IT_number 1
_space_group_name_Hall 'P 1'
_cell_length_a 3.856
_cell_length_b 3.856
_cell_length_c 4.430
_cell_angle_alpha 90.00
_cell_angle_beta 90.00
_cell_angle_gamma 90.00
loop_
_atom_site_label
_atom_site_type_symbol
_atom_site_fract_x
_atom_site_fract_y
_atom_site_fract_z
Ge1 Ge 0.000 0.000 0.500
Pt1 Pt 0.500 0.500 0.500
Pd1 Pd 0.500 0.000 0.000
Pd2 Pd 0.000 0.500 0.000
H1 H 0.000 0.000 0.000
# Volume in A^3/atom: 13.2
# Total energy in eV/atom: -4.94
# Polymorph energy (0 for the lowest one) in eV/atom: 0.121


# K2NaRu | Alexandria via LeMat-Bulk | GGA-PBE | optimized geometry
data_K2NaRu
_space_group_name_H-M_alt 'P 1'
_space_group_IT_number 1
_space_group_name_Hall 'P 1'
_cell_length_a 5.815
_cell_length_b 5.815
_cell_length_c 5.815
_cell_angle_alpha 60.00
_cell_angle_beta 60.00
_cell_angle_gamma 60.00
loop_
_atom_site_label
_atom_site_type_symbol
_atom_site_fract_x
_atom_site_fract_y
_atom_site_fract_z
Na1 Na 0.000 0.000 0.000
Ru1 Ru 0.500 0.500 0.500
K1 K 0.250 0.250 0.250
K2 K 0.750 0.750 0.750
# Volume in A^3/atom: 34.8
# Total energy in eV/atom: -2.16
# Formation energy from the elements in eV/atom: 1.04
# Polymorph energy (0 for the lowest one) in eV/atom: 0.000


# Rb4Y3TiSe8 | Alexandria via LeMat-Bulk | GGA-PBE | optimized geometry
data_Rb4Y3TiSe8
_space_group_name_H-M_alt 'P 1'
_space_group_IT_number 1
_space_group_name_Hall 'P 1'
_cell_length_a 8.329
_cell_length_b 9.310
_cell_length_c 8.329
_cell_angle_alpha 116.59
_cell_angle_beta 120.00
_cell_angle_gamma 90.00
loop_
_atom_site_label
_atom_site_type_symbol
_atom_site_fract_x
_atom_site_fract_y
_atom_site_fract_z
Rb1 Rb 0.500 0.000 0.000
Rb2 Rb 0.000 0.000 0.500
Rb3 Rb 0.000 0.000 0.000
Rb4 Rb 0.500 0.000 0.500
Se1 Se 0.779 0.310 0.557
Se2 Se 0.748 0.690 0.969
Se3 Se 0.221 0.690 0.969
Se4 Se 0.733 0.698 0.466
Se5 Se 0.221 0.690 0.443
Se6 Se 0.252 0.310 0.031
Se7 Se 0.267 0.302 0.534
Se8 Se 0.779 0.310 0.031
Y1 Y 0.500 0.500 0.000
Y2 Y 0.500 0.500 0.500
Y3 Y 0.000 0.500 0.500
Ti1 Ti 0.000 0.500 0.000
# Volume in A^3/atom: 29.9
# Formation energy (no corrections) in eV per atom: -1.57
# Total energy in eV/atom: -5.26


# KMn2Pb | Alexandria via LeMat-Bulk | GGA-PBE | optimized geometry
data_KMn2Pb
_space_group_name_H-M_alt 'P 1'
_space_group_IT_number 1
_space_group_name_Hall 'P 1'
_cell_length_a 4.973
_cell_length_b 3.159
_cell_length_c 7.098
_cell_angle_alpha 81.43
_cell_angle_beta 90.00
_cell_angle_gamma 90.00
loop_
_atom_site_label
_atom_site_type_symbol
_atom_site_fract_x
_atom_site_fract_y
_atom_site_fract_z
Mn1 Mn 0.000 0.462 0.407
Mn2 Mn 0.000 0.038 0.093
K1 K 0.500 0.750 0.750
Pb1 Pb 0.500 0.250 0.250
# Volume in A^3/atom: 27.6
# Total energy in eV/atom: -5.12
# Formation energy from the elements in eV/atom: 0.67
# Polymorph energy (0 for the lowest one) in eV/atom: 0.164


# Ac12Ir3Pt5 | Alexandria via LeMat-Bulk | GGA-PBE | optimized geometry
data_Ac12Ir3Pt5
_space_group_name_H-M_alt 'P 1'
_space_group_IT_number 1
_space_group_name_Hall 'P 1'
_cell_length_a 4.416
_cell_length_b 13.105
_cell_length_c 13.105
_cell_angle_alpha 120.00
_cell_angle_beta 90.00
_cell_angle_gamma 90.00
loop_
_atom_site_label
_atom_site_type_symbol
_atom_site_fract_x
_atom_site_fract_y
_atom_site_fract_z
Pt1 Pt 0.000 0.000 0.288
Pt2 Pt 0.000 0.667 0.333
Pt3 Pt 0.000 0.288 0.000
Pt4 Pt 0.000 0.333 0.667
Pt5 Pt 0.000 0.712 0.712
Ac1 Ac 0.500 0.451 0.193
Ac2 Ac 0.000 0.174 0.174
Ac3 Ac 0.000 0.826 0.000
Ac4 Ac 0.500 0.258 0.807
Ac5 Ac 0.000 0.000 0.826
Ac6 Ac 0.500 0.193 0.451
Ac7 Ac 0.500 0.807 0.258
Ac8 Ac 0.500 0.742 0.549
Ac9 Ac 0.000 0.471 0.471
Ac10 Ac 0.000 0.529 0.000
Ac11 Ac 0.000 0.000 0.529
Ac12 Ac 0.500 0.549 0.742
Ir1 Ir 0.500 0.675 0.000
Ir2 Ir 0.500 0.325 0.325
Ir3 Ir 0.500 0.000 0.675
# Volume in A^3/atom: 32.8
# Total energy in eV/atom: -6.13
# Formation energy from the elements in eV/atom: -0.83


# Pd3Pt7Rh2 | Alexandria via LeMat-Bulk | GGA-PBE | optimized geometry
data_Pd3Pt7Rh2
_space_group_name_H-M_alt 'P 1'
_space_group_IT_number 1
_space_group_name_Hall 'P 1'
_cell_length_a 2.734
_cell_length_b 4.572
_cell_length_c 16.030
_cell_angle_alpha 106.83
_cell_angle_beta 90.00
_cell_angle_gamma 90.00
loop_
_atom_site_label
_atom_site_type_symbol
_atom_site_fract_x
_atom_site_fract_y
_atom_site_fract_z
Rh1 Rh 0.500 0.601 0.296
Rh2 Rh 0.500 0.399 0.704
Pd1 Pd 0.500 0.500 0.000
Pd2 Pd 0.000 0.154 0.373
Pd3 Pd 0.000 0.846 0.627
Pt1 Pt 0.500 0.011 0.203
Pt2 Pt 0.000 0.000 0.000
Pt3 Pt 0.500 0.288 0.540
Pt4 Pt 0.000 0.544 0.853
Pt5 Pt 0.500 0.712 0.460
Pt6 Pt 0.000 0.456 0.147
Pt7 Pt 0.500 0.989 0.797
# Volume in A^3/atom: 16.0
# Total energy in eV/atom: -5.91
# Formation energy from the elements in eV/atom: 0.14
# Polymorph energy (0 for the lowest one) in eV/atom: 0.082


Computed values of M_tot (unit: Bohr magnetons per cell) for the preceding records, in sequence: 0.0, 2.0, 1.0, 7.9, 0.0, 0.0.
Computed values of DOS(E_F) (unit: states/eV/cell) for the preceding records, in sequence: 3.23, 20.39, 5.76, 2.99, 12.68, 20.23.